Compound: SmGe2Pt4
Source: the Alexandria database
Functional: GGA-PBE
Structure: relaxed

Cell and atoms, written as POSCAR:
```
SmGe2Pt4
1.0
16.5591 0.0000 0.0000
0.0000 4.0955 0.0000
0.0000 0.0000 7.4903
Sm Ge Pt
4 8 16
direct
0.1502 0.2500 0.0753 Sm
0.3498 0.7500 0.5753 Sm
0.6502 0.2500 0.4247 Sm
0.8498 0.7500 0.9247 Sm
0.0185 0.7500 0.2508 Ge
0.1820 0.2500 0.6240 Ge
0.3180 0.7500 0.1240 Ge
0.4815 0.2500 0.7508 Ge
0.5185 0.7500 0.2492 Ge
0.6820 0.2500 0.8760 Ge
0.8180 0.7500 0.3760 Ge
0.9815 0.2500 0.7492 Ge
0.0423 0.7500 0.9045 Pt
0.0529 0.2500 0.4381 Pt
0.1721 0.7500 0.4012 Pt
0.2140 0.7500 0.8216 Pt
0.2860 0.2500 0.3216 Pt
0.3279 0.2500 0.9012 Pt
0.4471 0.7500 0.9381 Pt
0.4577 0.2500 0.4045 Pt
0.5423 0.7500 0.5955 Pt
0.5529 0.2500 0.0619 Pt
0.6721 0.7500 0.0988 Pt
0.7140 0.7500 0.6784 Pt
0.7860 0.2500 0.1784 Pt
0.8279 0.2500 0.5988 Pt
0.9471 0.7500 0.5619 Pt
0.9577 0.2500 0.0955 Pt
```

Calculated values
Its space group is Pnma (62). The value obtained for the formation energy is -0.707 eV/atom. Its offset from the most stable computed form is 11.0 kJ/mol of formula units. The density comes out at 14.1 g/cm³.